A relaxed PmPt2Rh2 crystal. Source: Alexandria via LeMat-Bulk, functional PBE.

Properties
Space group: I4/mmm (139)
ρ: 13.0 g/cm3
E_form: -387.9 meV per atom
Total moment: 0.000 μB/cell

Cell and atoms, written as CIF:
```
data_PmPt2Rh2
_space_group_name_H-M_alt 'P 1'
_space_group_IT_number 1
_space_group_name_Hall 'P 1'
_cell_length_a 3.989
_cell_length_b 3.989
_cell_length_c 12.252
_cell_angle_alpha 99.37
_cell_angle_beta 99.37
_cell_angle_gamma 90.00
loop_
_atom_site_label
_atom_site_type_symbol
_atom_site_fract_x
_atom_site_fract_y
_atom_site_fract_z
Pm1 Pm 0.631 0.631 0.262
Pm2 Pm 0.369 0.369 0.738
Pt1 Pt 0.750 0.250 0.500
Pt2 Pt 0.928 0.928 0.857
Pt3 Pt 0.072 0.072 0.143
Pt4 Pt 0.250 0.750 0.500
Rh1 Rh 0.000 0.500 0.000
Rh2 Rh 0.174 0.174 0.348
Rh3 Rh 0.500 0.000 0.000
Rh4 Rh 0.826 0.826 0.652
```



A relaxed Pm8Pt2Rh3 crystal. Source: Alexandria via LeMat-Bulk, functional PBE.

Properties
Space group: C2/m (12)
Energy above the lowest structure with this stoichiometry: 26 meV/atom
ρ: 7.9 g/cm3
E_form: -651.6 meV per atom
Total moment: 0.000 μB/cell

Cell and atoms, written as CIF:
```
data_Pm8Pt2Rh3
_space_group_name_H-M_alt 'P 1'
_space_group_IT_number 1
_space_group_name_Hall 'P 1'
_cell_length_a 6.887
_cell_length_b 7.949
_cell_length_c 8.482
_cell_angle_alpha 117.94
_cell_angle_beta 106.03
_cell_angle_gamma 90.00
loop_
_atom_site_label
_atom_site_type_symbol
_atom_site_fract_x
_atom_site_fract_y
_atom_site_fract_z
Pm1 Pm 0.901 0.614 0.227
Pm2 Pm 0.099 0.386 0.773
Pm3 Pm 0.921 0.112 0.225
Pm4 Pm 0.079 0.888 0.775
Pm5 Pm 0.591 0.638 0.762
Pm6 Pm 0.591 0.124 0.762
Pm7 Pm 0.409 0.876 0.238
Pm8 Pm 0.409 0.362 0.238
Pt1 Pt 0.336 0.255 0.510
Pt2 Pt 0.664 0.745 0.490
Rh1 Rh 0.500 0.000 0.000
Rh2 Rh 0.000 0.261 0.000
Rh3 Rh 0.000 0.739 0.000
```



A relaxed PmPtRh crystal. Source: Alexandria via LeMat-Bulk, functional PBE.

Properties
Space group: P-6m2 (187)
Energy above the lowest structure with this stoichiometry: 94 meV/atom
ρ: 11.4 g/cm3
E_form: -800.9 meV per atom
Total moment: 0.000 μB/cell

Cell and atoms, written as CIF:
```
data_PmPtRh
_space_group_name_H-M_alt 'P 1'
_space_group_IT_number 1
_space_group_name_Hall 'P 1'
_cell_length_a 3.874
_cell_length_b 4.377
_cell_length_c 4.377
_cell_angle_alpha 120.00
_cell_angle_beta 90.00
_cell_angle_gamma 90.00
loop_
_atom_site_label
_atom_site_type_symbol
_atom_site_fract_x
_atom_site_fract_y
_atom_site_fract_z
Rh1 Rh 0.166 0.667 0.333
Pt1 Pt 0.167 0.000 0.000
Pm1 Pm 0.667 0.333 0.667
```



A relaxed Pm3PtRh2 crystal. Source: Alexandria via LeMat-Bulk, functional PBE.

Properties
Space group: Cmmm (65)
Energy above the lowest structure with this stoichiometry: 0 meV/atom
ρ: 10.4 g/cm3
E_form: -829.5 meV per atom
Total moment: 0.000 μB/cell

Cell and atoms, written as CIF:
```
data_Pm3PtRh2
_space_group_name_H-M_alt 'P 1'
_space_group_IT_number 1
_space_group_name_Hall 'P 1'
_cell_length_a 3.537
_cell_length_b 5.016
_cell_length_c 14.999
_cell_angle_alpha 90.00
_cell_angle_beta 90.00
_cell_angle_gamma 90.00
loop_
_atom_site_label
_atom_site_type_symbol
_atom_site_fract_x
_atom_site_fract_y
_atom_site_fract_z
Pm1 Pm 0.500 0.500 0.669
Pm2 Pm 0.500 0.000 0.500
Pm3 Pm 0.500 0.500 0.331
Pm4 Pm 0.500 0.000 0.169
Pm5 Pm 0.500 0.500 0.000
Pm6 Pm 0.500 0.000 0.831
Pt1 Pt 0.000 0.500 0.500
Pt2 Pt 0.000 0.000 0.000
Rh1 Rh 0.000 0.000 0.668
Rh2 Rh 0.000 0.000 0.332
Rh3 Rh 0.000 0.500 0.168
Rh4 Rh 0.000 0.500 0.832
```



A relaxed Pm8Pt5Rh crystal. Source: Alexandria via LeMat-Bulk, functional PBE.

Properties
Space group: I-4 (82)
ρ: 10.4 g/cm3
E_form: -947.4 meV per atom
Total moment: 0.000 μB/cell

Cell and atoms, written as CIF:
```
data_Pm8Pt5Rh
_space_group_name_H-M_alt 'P 1'
_space_group_IT_number 1
_space_group_name_Hall 'P 1'
_cell_length_a 7.743
_cell_length_b 7.743
_cell_length_c 7.743
_cell_angle_alpha 109.64
_cell_angle_beta 109.14
_cell_angle_gamma 109.64
loop_
_atom_site_label
_atom_site_type_symbol
_atom_site_fract_x
_atom_site_fract_y
_atom_site_fract_z
Pm1 Pm 0.131 0.749 0.996
Pm2 Pm 0.004 0.135 0.753
Pm3 Pm 0.748 0.249 0.373
Pm4 Pm 0.627 0.375 0.876
Pm5 Pm 0.501 0.625 0.252
Pm6 Pm 0.618 0.865 0.869
Pm7 Pm 0.247 0.251 0.382
Pm8 Pm 0.124 0.751 0.499
Pt1 Pt 0.001 0.376 0.128
Pt2 Pt 0.872 0.873 0.247
Pt3 Pt 0.753 0.624 0.626
Pt4 Pt 0.500 0.000 0.500
Pt5 Pt 0.374 0.127 0.999
Rh1 Rh 0.250 0.500 0.750
```



A relaxed Pm4Pt2Rh crystal. Source: Alexandria via LeMat-Bulk, functional PBE.

Properties
Space group: I-42d (122)
Energy above the lowest structure with this stoichiometry: 0 meV/atom
ρ: 10.1 g/cm3
E_form: -895.5 meV per atom
Total moment: 0.000 μB/cell

Cell and atoms, written as CIF:
```
data_Pm4Pt2Rh
_space_group_name_H-M_alt 'P 1'
_space_group_IT_number 1
_space_group_name_Hall 'P 1'
_cell_length_a 7.720
_cell_length_b 7.720
_cell_length_c 7.720
_cell_angle_alpha 109.82
_cell_angle_beta 108.77
_cell_angle_gamma 109.82
loop_
_atom_site_label
_atom_site_type_symbol
_atom_site_fract_x
_atom_site_fract_y
_atom_site_fract_z
Pm1 Pm 0.119 0.868 0.372
Pm2 Pm 0.628 0.748 0.496
Pm3 Pm 0.001 0.632 0.754
Pm4 Pm 0.246 0.248 0.878
Pm5 Pm 0.631 0.752 0.999
Pm6 Pm 0.749 0.252 0.881
Pm7 Pm 0.504 0.132 0.251
Pm8 Pm 0.122 0.368 0.369
Pt1 Pt 0.875 0.127 0.502
Pt2 Pt 0.498 0.373 0.625
Pt3 Pt 0.375 0.873 0.748
Pt4 Pt 0.252 0.627 0.125
Rh1 Rh 0.000 0.000 0.000
Rh2 Rh 0.750 0.500 0.250
```